(1)
# CsMgSi2H

A relaxed structure of CsMgSi2H (GGA-PBE, Alexandria).

Summary:
E: -1.27 eV/atom
Space group: No. 123

```
data_CsMgSi2H
_chemical_formula_sum 'Cs1 Mg1 Si2 H1'
_cell_length_a 7.1705
_cell_length_b 8.3613
_cell_length_c 7.1705
_cell_angle_alpha 90.00
_cell_angle_beta 90.00
_cell_angle_gamma 90.00
_space_group_name_H-M_alt 'P 1'
_space_group_IT_number 1
loop_
_space_group_symop_operation_xyz
'x,y,z'
loop_
_atom_site_label
_atom_site_type_symbol
_atom_site_fract_x
_atom_site_fract_y
_atom_site_fract_z
Si1 Si 0.5000 0.0000 0.0000
Si2 Si 0.0000 0.0000 0.5000
Cs1 Cs 0.0000 0.0000 0.0000
H1 H 0.5000 0.5000 0.5000
Mg1 Mg 0.0000 0.5000 0.0000
```


(2)
# Cs2MgSnH6

A relaxed structure of Cs2MgSnH6 (GGA-PBE, Alexandria).

Summary:
E: -2.77 eV/atom
Space group: No. 12

```
data_Cs2MgSnH6
_chemical_formula_sum 'Cs2 Mg1 Sn1 H6'
_cell_length_a 6.2558
_cell_length_b 6.2557
_cell_length_c 6.2638
_cell_angle_alpha 59.99
_cell_angle_beta 59.99
_cell_angle_gamma 89.99
_space_group_name_H-M_alt 'P 1'
_space_group_IT_number 1
loop_
_space_group_symop_operation_xyz
'x,y,z'
loop_
_atom_site_label
_atom_site_type_symbol
_atom_site_fract_x
_atom_site_fract_y
_atom_site_fract_z
H1 H 0.2350 0.2351 0.9999
H2 H 0.2352 0.2352 0.5297
H3 H 0.2350 0.7650 0.0000
H4 H 0.7650 0.7649 0.0001
H5 H 0.7648 0.7648 0.4703
H6 H 0.7650 0.2350 0.0000
Cs1 Cs 0.2499 0.7502 0.5000
Cs2 Cs 0.7501 0.2499 0.5000
Sn1 Sn 0.5000 0.5000 0.0000
Mg1 Mg 0.0000 0.0000 0.0000
```


(3)
# Cs2MgZnH6

A relaxed structure of Cs2MgZnH6 (GGA-PBE, Alexandria).

Summary:
E: -2.56 eV/atom
Space group: No. 69

```
data_Cs2MgZnH6
_chemical_formula_sum 'Cs2 Mg1 Zn1 H6'
_cell_length_a 6.0583
_cell_length_b 6.0583
_cell_length_c 6.1145
_cell_angle_alpha 59.78
_cell_angle_beta 59.78
_cell_angle_gamma 89.10
_space_group_name_H-M_alt 'P 1'
_space_group_IT_number 1
loop_
_space_group_symop_operation_xyz
'x,y,z'
loop_
_atom_site_label
_atom_site_type_symbol
_atom_site_fract_x
_atom_site_fract_y
_atom_site_fract_z
H1 H 0.7721 0.7721 0.4558
H2 H 0.7709 0.7709 0.0000
H3 H 0.2279 0.2279 0.5442
H4 H 0.3071 0.6929 0.0000
H5 H 0.6929 0.3071 0.0000
H6 H 0.2291 0.2291 0.0000
Mg1 Mg 0.0000 0.0000 0.0000
Cs1 Cs 0.7500 0.2500 0.5000
Cs2 Cs 0.2500 0.7500 0.5000
Zn1 Zn 0.5000 0.5000 0.0000
```


(4)
# Cs3Mn2H9

A relaxed structure of Cs3Mn2H9 (GGA-PBE, Alexandria).

Summary:
E: -3.73 eV/atom
Space group: No. 167

```
data_Cs3Mn2H9
_chemical_formula_sum 'Cs6 Mn4 H18'
_cell_length_a 7.9892
_cell_length_b 7.9892
_cell_length_c 7.9892
_cell_angle_alpha 86.10
_cell_angle_beta 86.10
_cell_angle_gamma 86.10
_space_group_name_H-M_alt 'P 1'
_space_group_IT_number 1
loop_
_space_group_symop_operation_xyz
'x,y,z'
loop_
_atom_site_label
_atom_site_type_symbol
_atom_site_fract_x
_atom_site_fract_y
_atom_site_fract_z
Cs1 Cs 0.2500 0.9020 0.5980
Cs2 Cs 0.5980 0.2500 0.9020
Cs3 Cs 0.9020 0.5980 0.2500
Cs4 Cs 0.7500 0.0980 0.4020
Cs5 Cs 0.0980 0.4020 0.7500
Cs6 Cs 0.4020 0.7500 0.0980
H1 H 0.6432 0.8568 0.7500
H2 H 0.3568 0.1432 0.2500
H3 H 0.6060 0.7566 0.4695
H4 H 0.7566 0.4695 0.6060
H5 H 0.9695 0.2566 0.1060
H6 H 0.2500 0.3568 0.1432
H7 H 0.7434 0.8940 0.0305
H8 H 0.2434 0.5305 0.3940
H9 H 0.8568 0.7500 0.6432
H10 H 0.3940 0.2434 0.5305
H11 H 0.2566 0.1060 0.9695
H12 H 0.1060 0.9695 0.2566
H13 H 0.4695 0.6060 0.7566
H14 H 0.7500 0.6432 0.8568
H15 H 0.8940 0.0305 0.7434
H16 H 0.0305 0.7434 0.8940
H17 H 0.1432 0.2500 0.3568
H18 H 0.5305 0.3940 0.2434
Mn1 Mn 0.3415 0.3415 0.3415
Mn2 Mn 0.6585 0.6585 0.6585
Mn3 Mn 0.8415 0.8415 0.8415
Mn4 Mn 0.1585 0.1585 0.1585
```


(5)
# Cs3MnH6

A relaxed structure of Cs3MnH6 (GGA-PBE, Alexandria).

Summary:
E: -3.26 eV/atom
Space group: No. 69
Energy above the most stable polymorph in this dataset: 0.032 eV per atom

```
data_Cs3MnH6
_chemical_formula_sum 'Cs3 Mn1 H6'
_cell_length_a 6.6664
_cell_length_b 6.6664
_cell_length_c 6.1037
_cell_angle_alpha 116.88
_cell_angle_beta 116.88
_cell_angle_gamma 99.92
_space_group_name_H-M_alt 'P 1'
_space_group_IT_number 1
loop_
_space_group_symop_operation_xyz
'x,y,z'
loop_
_atom_site_label
_atom_site_type_symbol
_atom_site_fract_x
_atom_site_fract_y
_atom_site_fract_z
H1 H 0.0061 0.0061 0.7335
H2 H 0.9939 0.9939 0.2665
H3 H 0.8321 0.1679 0.0000
H4 H 0.1679 0.8321 0.0000
H5 H 0.7274 0.7274 0.7335
H6 H 0.2726 0.2726 0.2665
Cs1 Cs 0.2500 0.7500 0.5000
Cs2 Cs 0.7500 0.2500 0.5000
Cs3 Cs 0.5000 0.5000 0.0000
Mn1 Mn 0.0000 0.0000 0.0000
```


(6)
# CsMn3H

A relaxed structure of CsMn3H (GGA-PBE, Alexandria).

Summary:
E: -5.13 eV/atom
Space group: No. 221
Energy above the most stable polymorph in this dataset: 0.000 eV per atom

```
data_CsMn3H
_chemical_formula_sum 'Cs1 Mn3 H1'
_cell_length_a 4.3144
_cell_length_b 4.3144
_cell_length_c 4.3144
_cell_angle_alpha 90.00
_cell_angle_beta 90.00
_cell_angle_gamma 90.00
_space_group_name_H-M_alt 'P 1'
_space_group_IT_number 1
loop_
_space_group_symop_operation_xyz
'x,y,z'
loop_
_atom_site_label
_atom_site_type_symbol
_atom_site_fract_x
_atom_site_fract_y
_atom_site_fract_z
Cs1 Cs 0.5000 0.5000 0.5000
Mn1 Mn 0.5000 0.0000 0.0000
Mn2 Mn 0.0000 0.5000 0.0000
Mn3 Mn 0.0000 0.0000 0.5000
H1 H 0.0000 0.0000 0.0000
```


(7)
# Cs3MnH5

A relaxed structure of Cs3MnH5 (GGA-PBE, Alexandria).

Summary:
E: -3.27 eV/atom
Space group: No. 140

```
data_Cs3MnH5
_chemical_formula_sum 'Cs6 Mn2 H10'
_cell_length_a 8.6076
_cell_length_b 8.6076
_cell_length_c 8.6076
_cell_angle_alpha 122.10
_cell_angle_beta 122.10
_cell_angle_gamma 86.40
_space_group_name_H-M_alt 'P 1'
_space_group_IT_number 1
loop_
_space_group_symop_operation_xyz
'x,y,z'
loop_
_atom_site_label
_atom_site_type_symbol
_atom_site_fract_x
_atom_site_fract_y
_atom_site_fract_z
Cs1 Cs 0.8192 0.3192 0.1383
Cs2 Cs 0.1808 0.6808 0.8617
Cs3 Cs 0.7500 0.7500 0.0000
Cs4 Cs 0.2500 0.2500 0.0000
Cs5 Cs 0.6808 0.8192 0.5000
Cs6 Cs 0.3192 0.1808 0.5000
H1 H 0.5458 0.0458 0.2616
H2 H 0.5000 0.5000 0.0000
H3 H 0.2158 0.7158 0.2616
H4 H 0.0458 0.7842 0.5000
H5 H 0.9542 0.2158 0.5000
H6 H 0.7842 0.2842 0.7384
H7 H 0.0000 0.0000 0.0000
H8 H 0.4542 0.9542 0.7384
H9 H 0.2842 0.5458 0.5000
H10 H 0.7158 0.4542 0.5000
Mn1 Mn 0.2500 0.7500 0.5000
Mn2 Mn 0.7500 0.2500 0.5000
```


(8)
# CsMnH3

A relaxed structure of CsMnH3 (GGA-PBE, Alexandria).

Summary:
E: -2.48 eV/atom
Space group: No. 221
Energy above the most stable polymorph in this dataset: 1.385 eV per atom

```
data_CsMnH3
_chemical_formula_sum 'Cs1 Mn1 H3'
_cell_length_a 4.5653
_cell_length_b 4.5653
_cell_length_c 4.5653
_cell_angle_alpha 90.00
_cell_angle_beta 90.00
_cell_angle_gamma 90.00
_space_group_name_H-M_alt 'P 1'
_space_group_IT_number 1
loop_
_space_group_symop_operation_xyz
'x,y,z'
loop_
_atom_site_label
_atom_site_type_symbol
_atom_site_fract_x
_atom_site_fract_y
_atom_site_fract_z
H1 H 0.0000 0.5000 0.0000
H2 H 0.0000 0.0000 0.5000
H3 H 0.5000 0.0000 0.0000
Mn1 Mn 0.5000 0.5000 0.5000
Cs1 Cs 0.0000 0.0000 0.0000
```


(9)
# Cs3MnH6

A relaxed structure of Cs3MnH6 (GGA-PBE, Alexandria).

Summary:
E: -3.29 eV/atom
Space group: No. 225
Energy above the most stable polymorph in this dataset: 0.000 eV per atom

```
data_Cs3MnH6
_chemical_formula_sum 'Cs3 Mn1 H6'
_cell_length_a 6.4533
_cell_length_b 6.4533
_cell_length_c 6.4533
_cell_angle_alpha 60.00
_cell_angle_beta 60.00
_cell_angle_gamma 60.00
_space_group_name_H-M_alt 'P 1'
_space_group_IT_number 1
loop_
_space_group_symop_operation_xyz
'x,y,z'
loop_
_atom_site_label
_atom_site_type_symbol
_atom_site_fract_x
_atom_site_fract_y
_atom_site_fract_z
H1 H 0.8160 0.1840 0.8160
H2 H 0.1840 0.8160 0.8160
H3 H 0.1840 0.8160 0.1840
H4 H 0.1840 0.1840 0.8160
H5 H 0.8160 0.1840 0.1840
H6 H 0.8160 0.8160 0.1840
Cs1 Cs 0.5000 0.5000 0.5000
Cs2 Cs 0.7500 0.7500 0.7500
Cs3 Cs 0.2500 0.2500 0.2500
Mn1 Mn 0.0000 0.0000 0.0000
```


(10)
# CsMn2H

A relaxed structure of CsMn2H (GGA-PBE, Alexandria).

Summary:
E: -4.80 eV/atom
Space group: No. 141

```
data_CsMn2H
_chemical_formula_sum 'Cs2 Mn4 H2'
_cell_length_a 6.0524
_cell_length_b 6.0524
_cell_length_c 6.0415
_cell_angle_alpha 59.94
_cell_angle_beta 59.94
_cell_angle_gamma 90.00
_space_group_name_H-M_alt 'P 1'
_space_group_IT_number 1
loop_
_space_group_symop_operation_xyz
'x,y,z'
loop_
_atom_site_label
_atom_site_type_symbol
_atom_site_fract_x
_atom_site_fract_y
_atom_site_fract_z
Cs1 Cs 0.0000 0.0000 0.0000
Cs2 Cs 0.7500 0.2500 0.5000
H1 H 0.2500 0.7500 0.5000
H2 H 0.5000 0.5000 0.0000
Mn1 Mn 0.3750 0.6250 0.7500
Mn2 Mn 0.3750 0.1250 0.2500
Mn3 Mn 0.3750 0.6250 0.2500
Mn4 Mn 0.8750 0.6250 0.7500
```


(11)
# CsMnH3

A relaxed structure of CsMnH3 (GGA-PBE, Alexandria).

Summary:
E: -3.87 eV/atom
Space group: No. 221
Energy above the most stable polymorph in this dataset: 0.000 eV per atom

```
data_CsMnH3
_chemical_formula_sum 'Cs1 Mn1 H3'
_cell_length_a 4.1904
_cell_length_b 4.1904
_cell_length_c 4.1904
_cell_angle_alpha 90.00
_cell_angle_beta 90.00
_cell_angle_gamma 90.00
_space_group_name_H-M_alt 'P 1'
_space_group_IT_number 1
loop_
_space_group_symop_operation_xyz
'x,y,z'
loop_
_atom_site_label
_atom_site_type_symbol
_atom_site_fract_x
_atom_site_fract_y
_atom_site_fract_z
Mn1 Mn 0.0000 0.0000 0.0000
H1 H 0.0000 0.0000 0.5000
H2 H 0.0000 0.5000 0.0000
H3 H 0.5000 0.0000 0.0000
Cs1 Cs 0.5000 0.5000 0.5000
```


(12)
# CsMn3H

A relaxed structure of CsMn3H (GGA-PBE, Alexandria).

Summary:
E: -3.68 eV/atom
Space group: No. 221
Energy above the most stable polymorph in this dataset: 1.452 eV per atom

```
data_CsMn3H
_chemical_formula_sum 'Cs1 Mn3 H1'
_cell_length_a 6.1549
_cell_length_b 6.1549
_cell_length_c 6.1549
_cell_angle_alpha 90.00
_cell_angle_beta 90.00
_cell_angle_gamma 90.00
_space_group_name_H-M_alt 'P 1'
_space_group_IT_number 1
loop_
_space_group_symop_operation_xyz
'x,y,z'
loop_
_atom_site_label
_atom_site_type_symbol
_atom_site_fract_x
_atom_site_fract_y
_atom_site_fract_z
Mn1 Mn 0.0000 0.5000 0.0000
Mn2 Mn 0.0000 0.0000 0.5000
Mn3 Mn 0.5000 0.0000 0.0000
Cs1 Cs 0.0000 0.0000 0.0000
H1 H 0.5000 0.5000 0.5000
```


(13)
# CsNaMnH6

A relaxed structure of CsNaMnH6 (GGA-PBE, Alexandria).

Summary:
E: -3.55 eV/atom
Space group: No. 38

```
data_CsNaMnH6
_chemical_formula_sum 'Cs1 Na1 Mn1 H6'
_cell_length_a 5.4991
_cell_length_b 5.5024
_cell_length_c 5.4777
_cell_angle_alpha 90.00
_cell_angle_beta 90.00
_cell_angle_gamma 59.91
_space_group_name_H-M_alt 'P 1'
_space_group_IT_number 1
loop_
_space_group_symop_operation_xyz
'x,y,z'
loop_
_atom_site_label
_atom_site_type_symbol
_atom_site_fract_x
_atom_site_fract_y
_atom_site_fract_z
H1 H 0.0752 0.4630 0.3042
H2 H 0.4623 0.0751 0.6960
H3 H 0.0751 0.4629 0.6958
H4 H 0.4626 0.4621 0.6961
H5 H 0.4621 0.0751 0.3040
H6 H 0.4627 0.4621 0.3039
Mn1 Mn 0.3336 0.3333 0.5000
Cs1 Cs 0.9998 0.0001 0.0000
Na1 Na 0.6663 0.6665 0.5000
```